[1]
The following is a PBE-GGA calculation of a geometry-optimized TcP structure, from the Alexandria database.

Computed properties:
Energy of formation = -0.251 eV per atom
Crystal system = orthorhombic
Polymorph energy (0 for the lowest one) = 0.318 eV/atom

Lattice parameters (Å, degrees): 3.071 8.490 4.207 90.00 90.00 90.00
Space group Cmcm (No. 63)
Asymmetric unit:
Tc: 0.000 0.117 0.250 [4 per cell]
P: 0.000 0.400 0.250 [4 per cell]

=====

[2]
The following is a PBE-GGA calculation of a geometry-optimized TcP structure, from the Alexandria database.

Computed properties:
Energy of formation = -0.321 eV per atom
Crystal system = monoclinic
Polymorph energy (0 for the lowest one) = 0.248 eV/atom

Lattice parameters (Å, degrees): 4.443 4.447 3.847 90.00 124.77 90.00
Space group Cm (No. 8)
Asymmetric unit:
Tc: 0.000 0.000 0.000 [2 per cell]
P: 0.361 0.000 0.721 [2 per cell]

=====

[3]
The following is a PBE-GGA calculation of a geometry-optimized TcP2 structure, from the Alexandria database.

Computed properties:
Energy of formation = -0.043 eV per atom
Crystal system = orthorhombic
Polymorph energy (0 for the lowest one) = 0.349 eV/atom

Lattice parameters (Å, degrees): 3.066 11.604 4.480 90.00 90.00 90.00
Space group Cmcm (No. 63)
Asymmetric unit:
Tc: 0.000 0.111 0.250 [4 per cell]
P: 0.000 0.222 0.750 [4 per cell]
P: 0.000 0.434 0.250 [4 per cell]

=====

[4]
The following is a PBE-GGA calculation of a geometry-optimized TcP4 structure, from the Alexandria database.

Computed properties:
Energy of formation = -0.278 eV per atom
Crystal system = monoclinic
Polymorph energy (0 for the lowest one) = 0.132 eV/atom

Lattice parameters (Å, degrees): 4.651 4.676 7.390 90.00 98.54 90.00
Space group P2_1/c (No. 14)
Asymmetric unit:
Tc: 0.000 0.000 0.000 [2 per cell]
P: 0.210 0.195 0.747 [4 per cell]
P: 0.380 0.651 0.086 [4 per cell]

=====

[5]
The following is a PBE-GGA calculation of a geometry-optimized TcP5 structure, from the Alexandria database.

Computed properties:
Energy of formation = 0.940 eV per atom
Crystal system = cubic
Polymorph energy (0 for the lowest one) = 0.869 eV/atom

Lattice parameters (Å, degrees): 7.003 7.003 7.003 90.00 90.00 90.00
Space group F-43m (No. 216)
Asymmetric unit:
Tc: 0.000 0.000 0.000 [4 per cell]
P: 0.121 0.121 0.379 [16 per cell]
P: 0.250 0.250 0.750 [4 per cell]

=====

[6]
The following is a PBE-GGA calculation of a geometry-optimized TcP structure, from the Alexandria database.

Computed properties:
Energy of formation = -0.405 eV per atom
Crystal system = tetragonal
Polymorph energy (0 for the lowest one) = 0.164 eV/atom

Lattice parameters (Å, degrees): 3.102 3.102 5.603 90.00 90.00 90.00
Space group P4/nmm (No. 129, origin choice 2)
Asymmetric unit:
Tc: 0.250 0.250 0.193 [2 per cell]
P: 0.250 0.250 0.636 [2 per cell]

=====

Number 1: raw total energy -16.28 eV/f.u.. Number 2: raw total energy -16.42 eV/f.u.. Number 3: raw total energy -21.31 eV/f.u.. Number 4: raw total energy -33.40 eV/f.u.. Number 5: raw total energy -31.77 eV/f.u.. Number 6: raw total energy -16.59 eV/f.u..